a:
VASP calculation (PBE) on an optimized crystal structure of PmZrRu.

**Calculated volume**: 416.5 Å³ per cell
**Crystal system**: monoclinic
**Total magnetization**: 0.000 μB/cell
**DOS at the Fermi energy**: 16.96 states/eV per cell

a b c (Å): 7.084 4.580 12.842
angles (deg): 90.00 91.56 90.00
Space group P2_1/m (No. 11)
Symmetry-distinct sites (fractional):
Pm 0.009 0.250 0.378 x2
Pm 0.113 0.250 0.085 x2
Pm 0.485 0.250 0.290 x2
Zr 0.164 0.250 0.785 x2
Zr 0.356 0.750 0.455 x2
Zr 0.457 0.750 0.085 x2
Ru 0.201 0.750 0.239 x2
Ru 0.276 0.250 0.563 x2
Ru 0.310 0.750 0.890 x2

***

b:
VASP calculation (PBE) on an optimized crystal structure of PmZrRu.

**Calculated volume**: 136.1 Å³ per cell
**Crystal system**: tetragonal
**Total magnetization**: 1.805 μB/cell
**DOS at the Fermi energy**: 6.06 states/eV per cell

a b c (Å): 3.381 3.381 11.903
angles (deg): 90.00 90.00 90.00
Space group I4mm (No. 107)
Symmetry-distinct sites (fractional):
Pm 0.000 0.000 0.000 x2
Zr 0.000 0.000 0.283 x2
Ru 0.000 0.000 0.667 x2

***

Unit: meV/atom. Relative energies: a 0; b 117.

***

a:
VASP calculation (PBE) on an optimized crystal structure of PmZr2Ru.

**Calculated volume**: 89.7 Å³ per cell
**Crystal system**: tetragonal
**Total magnetization**: 0.000 μB/cell
**DOS at the Fermi energy**: 4.23 states/eV per cell

a b c (Å): 3.325 3.325 8.115
angles (deg): 90.00 90.00 90.00
Space group P4/mmm (No. 123)
Symmetry-distinct sites (fractional):
Pm 0.000 0.000 0.000 x1
Zr 0.500 0.500 0.305 x2
Ru 0.000 0.000 0.500 x1

***

b:
VASP calculation (PBE) on an optimized crystal structure of PmZr2Ru.

**Calculated volume**: 252.8 Å³ per cell
**Crystal system**: trigonal
**Total magnetization**: 0.000 μB/cell
**DOS at the Fermi energy**: 14.49 states/eV per cell

a b c (Å): 4.7795 4.7795 12.7808
angles (deg): 90.00 90.00 120.00
Space group R-3m (No. 166, hexagonal axes)
Symmetry-distinct sites (fractional):
Pm 0.0000 0.0000 0.0000 x3
Zr 0.0000 0.0000 0.2426 x6
Ru 0.0000 0.0000 0.5000 x3

***

Unit: meV/atom. Relative energies: a 0; b 224.

***

a:
VASP calculation (PBE) on an optimized crystal structure of Pm3S4.

**Calculated volume**: 382.2 Å³ per cell
**Crystal system**: monoclinic
**Total magnetization**: 0.000 μB/cell
**DOS at the Fermi energy**: 4.93 states/eV per cell

a b c (Å): 14.666 4.072 7.131
angles (deg): 90.00 116.15 90.00
Space group C2/m (No. 12)
Symmetry-distinct sites (fractional):
Pm 0.000 0.000 0.000 x2
Pm 0.224 0.500 0.719 x4
S 0.126 0.000 0.435 x4
S 0.141 0.500 0.011 x4

***

b:
VASP calculation (PBE) on an optimized crystal structure of Pm3S4.

**Calculated volume**: 618.8 Å³ per cell
**Crystal system**: cubic
**Total magnetization**: 0.000 μB/cell
**DOS at the Fermi energy**: 18.42 states/eV per cell

a b c (Å): 8.522 8.522 8.522
angles (deg): 90.00 90.00 90.00
Space group I-43d (No. 220)
Symmetry-distinct sites (fractional):
Pm 0.000 0.250 0.875 x12
S 0.074 0.426 0.574 x16

***

Unit: meV/atom. Relative energies: a 28; b 0.

***

a:
VASP calculation (PBE) on an optimized crystal structure of PmSbS.

**Calculated volume**: 524.5 Å³ per cell
**Crystal system**: trigonal
**Total magnetization**: 0.000 μB/cell
**DOS at the Fermi energy**: 4.42 states/eV per cell

a b c (Å): 4.7893 4.7893 26.4054
angles (deg): 90.00 90.00 120.00
Space group R-3m (No. 166, hexagonal axes)
Symmetry-distinct sites (fractional):
Pm 0.0000 0.0000 0.1018 x6
Sb 0.0000 0.0000 0.3503 x6
S 0.0000 0.0000 0.2072 x6

***

b:
VASP calculation (PBE) on an optimized crystal structure of PmSbS.

**Calculated volume**: 157.7 Å³ per cell
**Crystal system**: tetragonal
**Total magnetization**: 0.000 μB/cell
**DOS at the Fermi energy**: 3.74 states/eV per cell

a b c (Å): 3.707 3.707 11.478
angles (deg): 90.00 90.00 90.00
Space group I4mm (No. 107)
Symmetry-distinct sites (fractional):
Pm 0.000 0.000 0.000 x2
Sb 0.000 0.000 0.302 x2
S 0.000 0.000 0.585 x2

***

c:
VASP calculation (PBE) on an optimized crystal structure of PmSbS.

**Calculated volume**: 303.7 Å³ per cell
**Crystal system**: orthorhombic
**Total magnetization**: 0.000 μB/cell
**DOS at the Fermi energy**: 2.02 states/eV per cell

a b c (Å): 17.742 4.133 4.141
angles (deg): 90.00 90.00 90.00
Space group Pnma (No. 62)
Symmetry-distinct sites (fractional):
Pm 0.154 0.250 0.242 x4
Sb 0.001 0.250 0.741 x4
S 0.186 0.750 0.744 x4

***

Unit: meV/atom. Relative energies: a 285; b 383; c 0.

***

a:
VASP calculation (PBE) on an optimized crystal structure of Pm3SbS.

**Calculated volume**: 1242.0 Å³ per cell
**Crystal system**: monoclinic
**Total magnetization**: 0.001 μB/cell
**DOS at the Fermi energy**: 27.25 states/eV per cell

a b c (Å): 14.868 11.864 7.187
angles (deg): 90.00 101.58 90.00
Space group C2/c (No. 15)
Symmetry-distinct sites (fractional):
Pm 0.101 0.069 0.428 x8
Pm 0.101 0.244 0.963 x8
Pm 0.109 0.420 0.464 x8
Sb 0.248 0.104 0.799 x8
S 0.000 0.254 0.250 x4
S 0.000 0.417 0.750 x4

***

b:
VASP calculation (PBE) on an optimized crystal structure of Pm3SbS.

**Calculated volume**: 149.4 Å³ per cell
**Crystal system**: cubic
**Total magnetization**: 0.000 μB/cell
**DOS at the Fermi energy**: 5.69 states/eV per cell

a b c (Å): 5.306 5.306 5.306
angles (deg): 90.00 90.00 90.00
Space group Pm-3m (No. 221)
Symmetry-distinct sites (fractional):
Pm 0.000 0.000 0.500 x3
Sb 0.500 0.500 0.500 x1
S 0.000 0.000 0.000 x1

***

Unit: meV/atom. Relative energies: a 0; b 225.